A relaxed structure of Rb2TlPtCl6, computed with PBE.

Energy: -3.278 eV per atom

a b c (Å): 7.5270 7.5270 7.5270
angles (deg): 60.00 60.00 60.00
With the nearest neighbours (Å) after each atom.
Element x y z (fractional)
Rb (0.2500, 0.2500, 0.2500)  12 Cl 3.77
Rb (0.7500, 0.7500, 0.7500)  12 Cl 3.77
Cl (0.7714, 0.7714, 0.2286)  1 Pt 2.43
Cl (0.7714, 0.2286, 0.7714)  1 Pt 2.43
Cl (0.2286, 0.7714, 0.2286)  1 Pt 2.43
Cl (0.7714, 0.2286, 0.2286)  1 Pt 2.43
Cl (0.2286, 0.2286, 0.7714)  1 Pt 2.43
Cl (0.2286, 0.7714, 0.7714)  1 Pt 2.43
Pt (0.0000, 0.0000, 0.0000)  6 Cl 2.43
Tl (0.5000, 0.5000, 0.5000)  6 Cl 2.89